(1)
ScVGe3 | PBE | optimized geometry

Calculated values
Total moment = 0.0 μB/cell
ΔH_f (0 K) = 0.092 eV per atom
Total DFT energy (no corrections) = -5.768 eV per atom

Lattice parameters (Å, degrees): 4.691 4.691 4.691 90.00 90.00 90.00
Space group Pm-3m (No. 221)
Symmetry-distinct sites (fractional):
Sc1 0.000 0.000 0.000 [1 per cell]
V1 0.500 0.500 0.500 [1 per cell]
Ge1 0.000 0.500 0.500 [3 per cell]

---

(2)
ScVGe3 | PBE | optimized geometry

Calculated values
Total moment = 3.1 μB/cell
ΔH_f (0 K) = 0.842 eV per atom
Total DFT energy (no corrections) = -5.018 eV per atom

Lattice parameters (Å, degrees): 4.997 4.997 4.997 90.00 90.00 90.00
Space group Pm-3m (No. 221)
Symmetry-distinct sites (fractional):
Sc1 0.000 0.000 0.000 [1 per cell]
V1 0.500 0.500 0.500 [1 per cell]
Ge1 0.000 0.000 0.500 [3 per cell]

---

(3)
ScV3Ge | PBE | optimized geometry

Calculated values
Total moment = 0.0 μB/cell
ΔH_f (0 K) = 1.565 eV per atom
Total DFT energy (no corrections) = -6.095 eV per atom
Energy above the most stable polymorph in this dataset = 873 meV/atom

Lattice parameters (Å, degrees): 4.420 4.420 4.420 90.00 90.00 90.00
Space group Pm-3m (No. 221)
Symmetry-distinct sites (fractional):
Sc1 0.000 0.000 0.000 [1 per cell]
V1 0.000 0.000 0.500 [3 per cell]
Ge1 0.500 0.500 0.500 [1 per cell]

---

(4)
Sc2VZnGe | PBE | optimized geometry

Calculated values
Total moment = 0.0 μB/cell
ΔH_f (0 K) = 0.323 eV per atom
Total DFT energy (no corrections) = -5.211 eV per atom

Lattice parameters (Å, degrees): 4.990 4.990 4.600 90.00 90.00 90.00
Space group P4/mmm (No. 123)
Symmetry-distinct sites (fractional):
Sc1 0.000 0.500 0.000 [2 per cell]
V1 0.000 0.000 0.500 [1 per cell]
Zn1 0.500 0.500 0.500 [1 per cell]
Ge1 0.000 0.000 0.000 [1 per cell]

---

(5)
ScGeW | PBE | optimized geometry

Calculated values
Total moment = 0.0 μB/cell
ΔH_f (0 K) = -0.424 eV per atom
Total DFT energy (no corrections) = -8.391 eV per atom

Lattice parameters (Å, degrees): 3.826 3.826 7.363 90.00 90.00 90.00
Space group P4/nmm (No. 129, origin choice 2)
Symmetry-distinct sites (fractional):
Sc1 0.250 0.250 0.145 [2 per cell]
Ge1 0.250 0.250 0.763 [2 per cell]
W1 0.250 0.750 0.500 [2 per cell]

---

(6)
ScGe3W | PBE | optimized geometry

Calculated values
Total moment = 0.0 μB/cell
ΔH_f (0 K) = 0.401 eV per atom
Total DFT energy (no corrections) = -6.226 eV per atom
Energy above the most stable polymorph in this dataset = 0 meV/atom

Lattice parameters (Å, degrees): 4.870 4.870 4.870 90.00 90.00 90.00
Space group Pm-3m (No. 221)
Symmetry-distinct sites (fractional):
Sc1 0.000 0.000 0.000 [1 per cell]
Ge1 0.000 0.500 0.500 [3 per cell]
W1 0.500 0.500 0.500 [1 per cell]

---

(7)
Sc2GeW | PBE | optimized geometry

Calculated values
Total moment = 2.1 μB/cell
ΔH_f (0 K) = 0.413 eV per atom
Total DFT energy (no corrections) = -7.146 eV per atom

Lattice parameters (Å, degrees): 7.636 7.636 5.364 90.00 90.00 90.00
Space group I-42d (No. 122)
Symmetry-distinct sites (fractional):
Sc1 0.237 0.750 0.125 [8 per cell]
Ge1 0.000 0.000 0.000 [4 per cell]
W1 0.000 0.000 0.500 [4 per cell]

---

(8)
ScGeW2 | PBE | optimized geometry

Calculated values
Total moment = 0.0 μB/cell
ΔH_f (0 K) = 0.633 eV per atom
Total DFT energy (no corrections) = -8.581 eV per atom

Lattice parameters (Å, degrees): 7.704 7.704 5.132 90.00 90.00 90.00
Space group I-42d (No. 122)
Symmetry-distinct sites (fractional):
Sc1 0.000 0.000 0.000 [4 per cell]
Ge1 0.000 0.000 0.500 [4 per cell]
W1 0.190 0.250 0.625 [8 per cell]